## CeMg2Be2O6 (GGA-PBE)

Data for a relaxed CeMg2Be2O6 crystal.

Results
formation energy (no corrections) = -2634 meV per atom
symmetry = P-3, No. 147
total magnetization = 0.00 μB per cell

abc: 5.1928 5.1928 5.4982
angles: 90.00 90.00 120.00
Fractional positions:
Ce (0.0000, 0.0000, 0.0000)
Mg (0.3333, 0.6667, 0.3836)
Mg (0.6667, 0.3333, 0.6164)
Be (0.3333, 0.6667, 0.8156)
Be (0.6667, 0.3333, 0.1844)
O (0.3384, 0.3768, 0.7580)
O (0.0385, 0.6616, 0.7580)
O (0.6232, 0.9615, 0.7580)
O (0.6616, 0.6232, 0.2420)
O (0.9615, 0.3384, 0.2420)
O (0.3768, 0.0385, 0.2420)